Entry 1:
Density functional theory data (GGA-PBE) for a relaxed TaMnTe crystal.

a b c (Å): 4.5014 4.5014 4.5014
angles (deg): 60.00 60.00 60.00
Closest atoms and distances in Å follow each position.
Element x y z (fractional)
Ta 0.7500 0.7500 0.7500  4 Mn 2.76, 4 Te 2.76
Te 0.0000 0.0000 0.0000  4 Ta 2.76
Mn 0.5000 0.5000 0.5000  4 Ta 2.76

For the density of states at the Fermi level, the calculation gives 4.1 states/eV per cell. Its space-group type is F-43m (216). The polymorph energy (0 for the lowest one) comes out at 0.644 eV per atom. The value obtained for the uncorrected formation energy is 0.574 eV/atom.


Entry 2:
Density functional theory data (GGA-PBE) for a relaxed Nd5DyHo12 crystal.

a b c (Å): 11.7238 10.4227 5.7399
angles (deg): 90.00 90.00 55.78
Closest atoms and distances in Å follow each position.
Element x y z (fractional)
Ho 0.5242 0.6420 0.5000  5 Ho 3.31-3.63, 4 Nd 3.46-3.64
Nd 0.1378 0.7244 0.5000  8 Ho 3.32-3.64
Nd 0.6398 0.7203 0.0000  8 Ho 3.37-3.63, 2 Nd 3.75
Ho 0.1979 0.0000 0.5005  2 Ho 3.11, 2 Nd 3.32
Ho 0.1662 0.3580 0.5000  5 Ho 3.31-3.63, 4 Nd 3.46-3.64
Nd 0.5000 0.0000 0.5000  10 Ho 3.54-3.71, 4 Nd 3.75
Ho 0.2994 0.0000 0.0005  2 Ho 3.11, 2 Nd 3.37
Nd 0.3602 0.2797 0.0000  8 Ho 3.37-3.63, 2 Nd 3.75
Nd 0.8622 0.2756 0.5000  8 Ho 3.32-3.64
Ho 0.6660 0.3564 0.0000  5 Ho 3.32-3.65, 3 Nd 3.47-3.63, 1 Dy 3.57
Ho 0.8338 0.6420 0.5000  5 Ho 3.31-3.63, 4 Nd 3.46-3.64
Ho 0.0224 0.6436 0.0000  5 Ho 3.32-3.65, 3 Nd 3.47-3.63, 1 Dy 3.57
Ho 0.3340 0.6436 0.0000  5 Ho 3.32-3.65, 3 Nd 3.47-3.63, 1 Dy 3.57
Ho 0.7007 0.0000 0.9995  2 Ho 3.11, 2 Nd 3.37
Ho 0.9776 0.3564 0.0000  5 Ho 3.32-3.65, 3 Nd 3.47-3.63, 1 Dy 3.57
Dy 0.0000 0.0000 0.0000  10 Ho 3.51-3.69, 4 Nd 3.73
Ho 0.8021 0.0000 0.4995  2 Ho 3.11, 2 Nd 3.32
Ho 0.4758 0.3580 0.5000  5 Ho 3.31-3.63, 4 Nd 3.46-3.64

For the density of states at the Fermi level, the calculation gives 28.0 states/eV per cell. Its space-group type is Cmmm (65). The calculation puts the formation energy from the elements at 92 meV per atom.


Entry 3:
Density functional theory data (GGA-PBE) for a relaxed Zr2AgPb crystal.

a b c (Å): 7.0735 5.3575 3.1971
angles (deg): 89.80 63.47 121.80
Closest atoms and distances in Å follow each position.
Element x y z (fractional)
Zr 0.5000 0.0000 0.5000  4 Pb 3.11-3.12, 4 Ag 3.11-3.12, 4 Zr 3.16-3.20
Zr 0.0000 0.0000 0.0000  4 Ag 3.11-3.12, 4 Pb 3.11-3.12, 4 Zr 3.16-3.20
Pb 0.5000 0.5000 0.0000  8 Zr 3.11-3.12, 2 Ag 3.16, 2 Pb 3.20
Ag 0.0000 0.5000 0.5000  8 Zr 3.11-3.12, 2 Pb 3.16, 2 Ag 3.20

For the density of states at the Fermi level, the calculation gives 3.5 states/eV per cell. Its space-group type is C2/m (12). The calculation puts the formation energy from the elements at -105 meV per atom.